VASP calculation (PBE with a Hubbard U) on an optimized crystal structure of Sr4V3AgO12.

a = 6.9246 Å, b = 6.9246 Å, c = 6.9246 Å
α = 109.47°, β = 109.47°, γ = 109.47°
With the nearest neighbours (Å) after each atom.
Element x y z (fractional)
O1 0.5000 0.7500 0.2500  2 V 2.00
O2 0.7230 0.7230 0.0000  1 V 1.78
O3 0.5000 0.2500 0.7500  2 V 2.00
Ag1 0.0000 0.0000 0.0000  6 O 2.22
O4 0.2500 0.7500 0.5000  2 V 2.00
Sr1 0.5000 0.5000 0.5000  12 O 2.83-2.84
O5 0.2770 0.2770 0.0000  1 V 1.78
O6 0.0000 0.7230 0.7230  1 V 1.78
O7 0.7500 0.2500 0.5000  2 V 2.00
O8 0.7500 0.5000 0.2500  2 V 2.00
V1 0.0000 0.5000 0.5000  2 O 1.78
O9 0.2500 0.5000 0.7500  2 V 2.00
Sr2 0.0000 0.5000 0.0000  12 O 2.83-2.84
O10 0.2770 0.0000 0.2770  1 V 1.78
O11 0.7230 0.0000 0.7230  1 V 1.78
O12 0.0000 0.2770 0.2770  1 V 1.78
Sr3 0.0000 0.0000 0.5000  12 O 2.83-2.84
V2 0.5000 0.0000 0.5000  2 O 1.78
Sr4 0.5000 0.0000 0.0000  12 O 2.83-2.84
V3 0.5000 0.5000 0.0000  2 O 1.78

## Properties
Its total DFT energy (no corrections) is -6.732 eV/atom. Its calculated volume is 12.8 A^3/atom.